! Ac2PBr, optimized geometry, DFT PBE-GGA; values from VASP
! DFT total energy in eV per atom: -5.284
! Space-group type: R-3m, No. 166
! Formation energy without anion corrections in eV per atom: -1.4588
&SYSTEM
  ibrav = 0, nat = 4, ntyp = 3
/
ATOMIC_SPECIES
P 30.97 P.upf
Ac 227.00 Ac.upf
Br 79.90 Br.upf
CELL_PARAMETERS angstrom
4.440 0.000 0.000
2.220 3.845 0.000
2.220 1.282 7.529
ATOMIC_POSITIONS angstrom
P 0.000 0.000 0.000
Ac 2.220 1.282 1.577
Ac 6.661 3.845 5.952
Br 4.440 2.564 3.765